Entry 1:
SrGa3Tc | PBE-GGA | relaxed

a = 6.630 Å, b = 6.156 Å, c = 6.094 Å
α = 90.00°, β = 122.93°, γ = 90.00°
Element x y z (fractional)
Ga 0.286 0.500 0.000
Ga 0.714 0.500 0.000
Ga 0.714 0.000 0.000
Ga 0.286 0.000 0.000
Ga 0.690 0.750 0.379
Ga 0.310 0.250 0.621
Tc 0.928 0.750 0.855
Tc 0.072 0.250 0.145
Sr 0.756 0.250 0.513
Sr 0.244 0.750 0.487

Space group: Cmcm, No. 63
Formation energy (eV per atom): -0.246

Entry 2:
Sr2Ga4Tc | PBE-GGA | relaxed

a = 4.844 Å, b = 4.844 Å, c = 8.689 Å
α = 73.82°, β = 73.82°, γ = 90.00°
Element x y z (fractional)
Ga 0.845 0.845 0.310
Ga 0.155 0.155 0.690
Ga 0.000 0.500 0.000
Ga 0.500 0.000 0.000
Tc 0.000 0.000 0.000
Sr 0.354 0.354 0.293
Sr 0.646 0.646 0.707

Space group: I4/mmm, No. 139
Formation energy (eV per atom): -0.276

Entry 3:
SrGa3Tc | PBE-GGA | relaxed

a = 7.296 Å, b = 7.296 Å, c = 5.038 Å
α = 90.00°, β = 90.00°, γ = 123.12°
Element x y z (fractional)
Tc 0.166 0.834 0.250
Tc 0.834 0.166 0.750
Ga 0.429 0.914 0.750
Ga 0.914 0.429 0.250
Ga 0.571 0.086 0.250
Ga 0.000 0.000 0.500
Ga 0.086 0.571 0.750
Ga 0.000 0.000 0.000
Sr 0.590 0.410 0.750
Sr 0.410 0.590 0.250

Space group: Cmcm, No. 63
Formation energy (eV per atom): 0.002

Entry 4:
SrGa3Tc | PBE-GGA | relaxed

a = 3.607 Å, b = 7.998 Å, c = 8.026 Å
α = 90.00°, β = 89.89°, γ = 90.00°
Element x y z (fractional)
Sr 0.251 0.250 0.414
Sr 0.749 0.750 0.586
Ga 0.752 0.964 0.204
Ga 0.249 0.750 0.951
Ga 0.248 0.464 0.796
Ga 0.752 0.536 0.204
Ga 0.248 0.036 0.796
Ga 0.751 0.250 0.049
Tc 0.748 0.250 0.748
Tc 0.252 0.750 0.252

Space group: P2_1/m, No. 11
Formation energy (eV per atom): 0.004

Entry 5:
Sr3GaTc | PBE-GGA | relaxed

a = 5.697 Å, b = 5.697 Å, c = 5.697 Å
α = 90.00°, β = 90.00°, γ = 90.00°
Element x y z (fractional)
Sr 0.000 0.000 0.500
Sr 0.500 0.000 0.000
Sr 0.000 0.500 0.000
Tc 0.000 0.000 0.000
Ga 0.500 0.500 0.500

Space group: Pm-3m, No. 221
Formation energy (eV per atom): 0.588

Entry 6:
SrGa2Tc | PBE-GGA | relaxed

a = 5.159 Å, b = 5.159 Å, c = 9.115 Å
α = 73.56°, β = 73.56°, γ = 90.00°
Element x y z (fractional)
Ga 0.874 0.625 0.250
Ga 0.375 0.124 0.750
Ga 0.875 0.126 0.750
Ga 0.876 0.125 0.250
Sr 0.500 0.500 0.000
Sr 0.250 0.750 0.500
Tc 0.750 0.250 0.500
Tc 0.000 0.000 0.000

Space group: I4_1/amd, No. 141
Formation energy (eV per atom): 0.153

Entry 7:
SrGa3Tc | PBE-GGA | relaxed

a = 5.050 Å, b = 6.619 Å, c = 9.275 Å
α = 55.61°, β = 82.75°, γ = 71.14°
Element x y z (fractional)
Ga 0.259 0.201 0.082
Ga 0.757 0.207 0.079
Ga 0.261 0.203 0.581
Ga 0.259 0.704 0.081
Ga 0.942 0.207 0.337
Ga 0.576 0.199 0.824
Tc 0.438 0.243 0.306
Tc 0.079 0.164 0.856
Sr 0.899 0.768 0.749
Sr 0.628 0.639 0.412

Space group: P1, No. 1
Formation energy (eV per atom): -0.270

Entry 8:
SrGaTc3 | PBE-GGA | relaxed

a = 4.752 Å, b = 4.752 Å, c = 4.752 Å
α = 90.00°, β = 90.00°, γ = 90.00°
Element x y z (fractional)
Tc 0.000 0.500 0.000
Tc 0.000 0.000 0.500
Tc 0.500 0.000 0.000
Ga 0.000 0.000 0.000
Sr 0.500 0.500 0.500

Space group: Pm-3m, No. 221
Formation energy (eV per atom): 1.203

Entry 9:
SrGa3Tc | PBE-GGA | relaxed

a = 12.317 Å, b = 7.990 Å, c = 7.990 Å
α = 107.27°, β = 131.82°, γ = 48.18°
Element x y z (fractional)
Ga 0.349 0.506 0.339
Ga 0.849 0.161 0.994
Ga 0.933 0.214 0.504
Ga 0.651 0.494 0.661
Ga 0.050 0.292 0.002
Ga 0.567 0.004 0.714
Ga 0.067 0.786 0.496
Ga 0.433 0.996 0.286
Ga 0.550 0.498 0.208
Ga 0.450 0.502 0.792
Ga 0.950 0.708 0.998
Ga 0.151 0.839 0.006
Sr 0.250 0.974 0.474
Sr 0.250 0.358 0.858
Sr 0.750 0.642 0.142
Sr 0.750 0.026 0.526
Tc 0.235 0.397 0.403
Tc 0.735 0.097 0.103
Tc 0.765 0.603 0.597
Tc 0.265 0.903 0.897

Space group: C2/c, No. 15
Formation energy (eV per atom): -0.132

Entry 10:
SrGa3Tc | PBE-GGA | relaxed

a = 4.265 Å, b = 4.265 Å, c = 18.569 Å
α = 90.00°, β = 90.00°, γ = 120.00°
Element x y z (fractional)
Sr 0.000 0.000 0.000
Sr 0.000 0.000 0.500
Ga 0.000 0.000 0.250
Ga 0.667 0.333 0.122
Ga 0.333 0.667 0.622
Ga 0.667 0.333 0.378
Ga 0.333 0.667 0.878
Ga 0.000 0.000 0.750
Tc 0.333 0.667 0.750
Tc 0.667 0.333 0.250

Space group: P6_3/mmc, No. 194
Formation energy (eV per atom): 0.355

Entry 11:
SrGa3Tc | PBE-GGA | relaxed

a = 7.121 Å, b = 5.102 Å, c = 6.604 Å
α = 90.02°, β = 62.36°, γ = 89.09°
Element x y z (fractional)
Tc 0.842 0.933 0.861
Tc 0.394 0.674 0.086
Ga 0.618 0.803 0.282
Ga 0.618 0.803 0.665
Ga 0.440 0.178 0.062
Ga 0.797 0.429 0.885
Ga 0.118 0.804 0.473
Ga 0.118 0.804 0.973
Sr 0.311 0.308 0.627
Sr 0.925 0.299 0.320

Space group: C2/m, No. 12
Formation energy (eV per atom): -0.342

Entry 12:
SrGaTc3 | PBE-GGA | relaxed

a = 4.884 Å, b = 4.884 Å, c = 4.884 Å
α = 90.00°, β = 90.00°, γ = 90.00°
Element x y z (fractional)
Tc 0.000 0.500 0.000
Tc 0.000 0.000 0.500
Tc 0.500 0.000 0.000
Ga 0.500 0.500 0.500
Sr 0.000 0.000 0.000

Space group: Pm-3m, No. 221
Formation energy (eV per atom): 2.846

| no. | final energy (eV/cell) |
| --- | --- |
| 1 | -44.7 |
| 2 | -27.8 |
| 3 | -42.2 |
| 4 | -42.2 |
| 5 | -15.5 |
| 6 | -35.0 |
| 7 | -45.0 |
| 8 | -29.8 |
| 9 | -87.2 |
| 10 | -38.7 |
| 11 | -45.7 |
| 12 | -21.6 |